Entry 1:
Entry from Alexandria via LeMat-Bulk: an optimized crystal structure of AcPr4Hg (GGA-PBE).

Geometry as POSCAR:
```
AcPr4Hg
1.0
5.916 0.000 0.000
0.000 8.657 0.000
-2.958 0.000 8.519
Pr Ac Hg
8 2 2
direct
0.915 0.295 0.831
0.085 0.795 0.169
0.292 0.955 0.583
0.496 0.549 0.993
0.745 0.087 0.491
0.255 0.587 0.509
0.504 0.049 0.007
0.708 0.455 0.417
0.121 0.257 0.242
0.879 0.757 0.758
0.348 0.291 0.696
0.652 0.791 0.304
```

Output
Energy above the lowest structure with this stoichiometry in meV per atom: 212
Magnetization in μB per formula unit: 0.000
Formation energy from the elements in meV/atom: 66
Space-group type: Cmc2_1, No. 36

Entry 2:
Entry from Alexandria via LeMat-Bulk: an optimized crystal structure of Ac2Pr2Hg3 (GGA-PBE).

Geometry as POSCAR:
```
Ac2Pr2Hg3
1.0
5.398 -0.003 -1.524
-2.910 4.796 0.004
-0.329 -0.187 9.350
Hg Ac Pr
3 2 2
direct
0.000 0.000 0.000
0.492 0.247 0.742
0.508 0.753 0.258
0.235 0.618 0.855
0.765 0.382 0.145
0.743 0.872 0.618
0.257 0.128 0.382
```

Output
Magnetization in μB per formula unit: 0.966
Formation energy from the elements in meV/atom: -315
Space-group type: P-1, No. 2

Q: magnetization of number 2 (Ac2Pr2Hg3)?
A: 0.966 μB per formula unit

Q: Which formula does entry 1 have?
A: AcPr4Hg

Q: Number 1 is which compound?
A: AcPr4Hg